Material: CoW2N
Method: DFT, PBE
State: optimized geometry

Cell lengths 6.3708, 6.3708, 6.3708 Å; angles 136.69, 136.69, 62.92 degrees
Sites, in units of the cell vectors:
Co 0.0000 0.0000 0.0000
Co 0.7500 0.2500 0.5000
W 0.1906 0.6250 0.0656
W 0.3750 0.4406 0.5656
W 0.5594 0.1250 0.9344
W 0.8750 0.8094 0.4344
N 0.2500 0.7500 0.5000
N 0.5000 0.5000 0.0000

VASP energy   -78.69 eV for the cell shown
M_tot   0.00 μB per cell
V   15.0 Å³/atom
Fermi-level density of states   2.23 states/eV per cell